No. 1
VASP calculation (PBE) on an optimized crystal structure of TbPrGd2.

extended XYZ file:
```
4
Lattice="3.616 0.000 0.000 0.000 3.616 0.000 0.000 0.000 10.186" Properties=species:S:1:pos:R:3 pbc="T T T"
Tb 0.000 0.000 0.000
Pr 0.000 0.000 5.093
Gd 1.808 1.808 2.497
Gd 1.808 1.808 7.689
```

Computed properties:
* formation enthalpy at 0 K: 0.024 eV/atom
* SG: No. 123

=====

No. 2
VASP calculation (PBE) on an optimized crystal structure of TbPrGd2.

extended XYZ file:
```
12
Lattice="3.609 0.000 0.000 -1.804 3.125 0.000 0.000 0.000 35.385" Properties=species:S:1:pos:R:3 pbc="T T T"
Tb 0.000 0.000 0.000
Tb 0.000 2.084 23.590
Tb 1.804 1.042 11.795
Pr 0.000 0.000 17.692
Pr 0.000 2.084 5.897
Pr 1.804 1.042 29.487
Gd 0.000 0.000 8.897
Gd 0.000 0.000 26.488
Gd 0.000 2.084 14.693
Gd 0.000 2.084 32.486
Gd 1.804 1.042 2.898
Gd 1.804 1.042 20.691
```

Computed properties:
* formation enthalpy at 0 K: 0.022 eV/atom
* SG: No. 166

=====

No. 3
VASP calculation (PBE) on an optimized crystal structure of TbPrGd.

extended XYZ file:
```
6
Lattice="4.216 0.000 0.000 0.000 4.216 0.000 0.000 0.000 11.430" Properties=species:S:1:pos:R:3 pbc="T T T"
Tb 0.000 0.000 0.000
Tb 2.108 2.108 5.715
Pr 0.000 0.000 3.747
Pr 2.108 2.108 9.461
Gd 0.000 0.000 7.498
Gd 2.108 2.108 1.783
```

Computed properties:
* formation enthalpy at 0 K: 0.101 eV/atom
* SG: No. 107

=====

Which formula does entry 2 have? TbPrGd2

=====

Number 2 is which compound? TbPrGd2

=====

Which value of formation enthalpy at 0 K does entry 2 give? 0.022 eV/atom